(1)
Computed, not measured: KTl2Te after structural relaxation at the PBE level of DFT.

Cell lengths 6.4621, 6.4621, 6.2962 Å; angles 64.55, 64.55, 39.46 degrees
Closest atoms and distances in Å follow each position.
Fractional positions:
Te  0.7213  0.7213  0.6403  4 Tl 3.24-3.28, 3 K 3.40-3.48
Tl  0.2736  0.2736  0.2244  2 Te 3.24, 1 Tl 3.38, 1 K 3.57
Tl  0.0505  0.0505  0.0452  2 Te 3.28, 1 Tl 3.38
K  0.4546  0.4546  0.5901  3 Te 3.40-3.48, 3 Tl 3.57-3.77

Properties
The value obtained for the total DFT energy (no corrections) is -2.62 eV/atom. The value obtained for the volume is 148.7 Å³ per cell. As for the energy relative to the elements, uncorrected: -0.372 eV/atom. The total magnetic moment is 0.000 μB per atom.

***

(2)
Computed, not measured: LaGeSe2Br after structural relaxation at the PBE level of DFT.

Cell lengths 5.2166, 5.2166, 5.0577 Å; angles 90.00, 90.00, 90.00 degrees
Closest atoms and distances in Å follow each position.
Fractional positions:
Se  0.5000  0.0000  0.0000  2 Ge 2.61
Se  0.0000  0.5000  0.0000  2 Ge 2.61
Br  0.0000  0.0000  0.5000  2 Ge 2.53
Ge  0.0000  0.0000  0.0000  2 Br 2.53, 4 Se 2.61
La  0.5000  0.5000  0.5000  8 Se 3.63, 4 Br 3.69

Properties
The value obtained for the total DFT energy (no corrections) is -4.40 eV/atom. The value obtained for the volume is 137.6 Å³ per cell. As for the energy relative to the elements, uncorrected: -0.759 eV/atom. The total magnetic moment is 0.044 μB per atom.

***

(3)
Computed, not measured: CdInGaAu after structural relaxation at the PBE level of DFT.

Cell lengths 4.9461, 4.9461, 4.9461 Å; angles 60.00, 60.00, 60.00 degrees
Closest atoms and distances in Å follow each position.
Fractional positions:
Au  0.5000  0.5000  0.5000  4 In 3.03, 4 Cd 3.03
Ga  0.0000  0.0000  0.0000  4 Cd 3.03, 4 In 3.03
In  0.2500  0.2500  0.2500  4 Au 3.03, 4 Ga 3.03
Cd  0.7500  0.7500  0.7500  4 Ga 3.03, 4 Au 3.03

Properties
The value obtained for the total DFT energy (no corrections) is -2.52 eV/atom. The value obtained for the volume is 85.6 Å³ per cell. As for the formation energy: -0.0330 eV/atom. The total magnetic moment is 0.000 μB per atom.

***

(4)
Computed, not measured: Be4Ag after structural relaxation at the PBE level of DFT.

Cell lengths 6.1024, 6.1024, 6.1024 Å; angles 150.99, 150.99, 41.48 degrees
Closest atoms and distances in Å follow each position.
Fractional positions:
Ag  0.0000  0.0000  0.0000  8 Be 2.47
Be  0.2500  0.7500  0.5000  8 Be 2.16-2.26
Be  0.6044  0.6044  0.0000  5 Be 2.26-2.38, 4 Ag 2.47
Be  0.7500  0.2500  0.5000  8 Be 2.16-2.26
Be  0.3956  0.3956  0.0000  5 Be 2.26-2.38, 4 Ag 2.47

Properties
The value obtained for the total DFT energy (no corrections) is -3.23 eV/atom. The value obtained for the volume is 53.3 Å³ per cell. As for the formation energy: 0.3255 eV/atom. The total magnetic moment is 0.000 μB per atom.

***

(5)
Computed, not measured: BaMg6Zn after structural relaxation at the PBE level of DFT.

Cell lengths 7.7266, 7.7266, 4.9981 Å; angles 90.00, 90.00, 133.01 degrees
Closest atoms and distances in Å follow each position.
Fractional positions:
Mg  0.6815  0.8268  0.0000  2 Zn 2.95, 5 Mg 3.03-3.16
Mg  0.3239  0.1980  0.5000  1 Zn 2.84, 5 Mg 2.95-3.15
Mg  0.1231  0.8769  0.0000  8 Mg 3.09-3.30
Mg  0.8020  0.6761  0.5000  1 Zn 2.84, 5 Mg 2.95-3.15
Mg  0.1732  0.3185  0.0000  2 Zn 2.95, 5 Mg 3.03-3.16
Mg  0.7064  0.2936  0.0000  8 Mg 3.30-3.54, 2 Zn 3.69
Zn  0.8975  0.1025  0.5000  6 Mg 2.84-2.95
Ba  0.2926  0.7074  0.5000  2 Zn 3.42, 8 Mg 3.47-3.63

Properties
The value obtained for the total DFT energy (no corrections) is -1.56 eV/atom. The value obtained for the volume is 218.2 Å³ per cell. As for the formation energy: 0.0397 eV/atom. The total magnetic moment is 0.000 μB per atom.

***

(6)
Computed, not measured: Ho6Mg2Cu after structural relaxation at the PBE level of DFT.

Cell lengths 6.6154, 7.2396, 11.0534 Å; angles 90.00, 73.60, 90.00 degrees
Closest atoms and distances in Å follow each position.
Fractional positions:
Ho  0.3674  0.7954  0.4644  1 Cu 2.78
Ho  0.8431  0.9643  0.2521  1 Cu 3.20, 3 Mg 3.28-3.56, 5 Ho 3.49-3.57
Ho  0.3431  0.5357  0.7521  1 Cu 3.20, 3 Mg 3.28-3.56, 5 Ho 3.49-3.57
Ho  0.6569  0.4643  0.2479  1 Cu 3.20, 3 Mg 3.28-3.56, 5 Ho 3.49-3.57
Ho  0.8226  0.6587  0.4997  1 Cu 2.74
Ho  0.1569  0.0357  0.7479  1 Cu 3.20, 3 Mg 3.28-3.56, 5 Ho 3.49-3.57
Ho  0.6774  0.1587  0.0003  1 Cu 2.74
Ho  0.1774  0.3413  0.5003  1 Cu 2.74
Ho  0.1326  0.2954  0.0356  1 Cu 2.78
Ho  0.8674  0.7046  0.9644  1 Cu 2.78
Ho  0.6326  0.2046  0.5356  1 Cu 2.78
Ho  0.3226  0.8413  0.9997  1 Cu 2.74
Cu  0.0000  0.0000  0.5000  4 Ho 2.74-2.78, 2 Mg 2.98
Cu  0.5000  0.5000  0.0000  4 Ho 2.74-2.78, 2 Mg 2.98
Mg  0.3194  0.0849  0.2568  1 Cu 2.98, 4 Ho 3.18-3.28
Mg  0.1806  0.5849  0.2432  1 Cu 2.98, 4 Ho 3.18-3.28
Mg  0.8194  0.4151  0.7568  1 Cu 2.98, 4 Ho 3.18-3.28
Mg  0.6806  0.9151  0.7432  1 Cu 2.98, 4 Ho 3.18-3.28

Properties
The value obtained for the total DFT energy (no corrections) is -3.80 eV/atom. The value obtained for the volume is 507.8 Å³ per cell. As for the formation energy: 0.0622 eV/atom. The total magnetic moment is 0.000 μB per atom.

***

(7)
Computed, not measured: Ba2BeCd after structural relaxation at the PBE level of DFT.

Cell lengths 4.6556, 5.4609, 6.2648 Å; angles 64.09, 90.00, 90.00 degrees
Closest atoms and distances in Å follow each position.
Fractional positions:
Ba  0.5000  0.2759  0.3219  3 Cd 3.44-3.54, 4 Be 3.81-3.83
Ba  0.0000  0.9725  0.9295  3 Be 3.45-3.52, 4 Cd 3.82-3.83
Be  0.0000  0.6622  0.5541  2 Cd 2.46
Cd  0.5000  0.5895  0.6945  2 Be 2.46

Properties
The value obtained for the total DFT energy (no corrections) is -2.03 eV/atom. The value obtained for the volume is 143.3 Å³ per cell. As for the formation energy: 0.0956 eV/atom. The total magnetic moment is 0.000 μB per atom.

***

(8)
Computed, not measured: TbY2TmBi5 after structural relaxation at the PBE level of DFT.

Cell lengths 5.4449, 5.4449, 11.7905 Å; angles 90.00, 90.00, 90.00 degrees
Closest atoms and distances in Å follow each position.
Fractional positions:
Tm  0.0000  0.0000  0.0000  2 Bi 2.88
Bi  0.5000  0.5000  0.0000  2 Y 3.20
Bi  0.0000  0.5000  0.5000  2 Tb 2.72
Bi  0.0000  0.0000  0.7557  1 Tm 2.88, 1 Tb 3.01
Bi  0.5000  0.0000  0.5000  2 Tb 2.72
Bi  0.0000  0.0000  0.2443  1 Tm 2.88, 1 Tb 3.01
Y  0.5000  0.5000  0.2713  1 Bi 3.20
Y  0.5000  0.5000  0.7287  1 Bi 3.20
Tb  0.0000  0.0000  0.5000  6 Bi 2.72-3.01

Properties
The value obtained for the total DFT energy (no corrections) is -4.56 eV/atom. The value obtained for the volume is 349.6 Å³ per cell. As for the formation energy: 0.0412 eV/atom. The total magnetic moment is 0.000 μB per atom.

***

(9)
Computed, not measured: InCuSe2 after structural relaxation at the PBE level of DFT.

Cell lengths 4.1744, 5.8378, 4.1744 Å; angles 90.00, 90.00, 90.00 degrees
Closest atoms and distances in Å follow each position.
Fractional positions:
Cu  0.0000  0.0000  0.0000  4 Se 2.45
In  0.5000  0.5000  0.5000  4 Se 2.66
Se  0.5000  0.7811  0.0000  2 Cu 2.45, 2 In 2.66
Se  0.0000  0.2189  0.5000  2 Cu 2.45, 2 In 2.66

Properties
The value obtained for the total DFT energy (no corrections) is -3.89 eV/atom. The value obtained for the volume is 101.7 Å³ per cell. As for the energy relative to the elements, uncorrected: -0.438 eV/atom. The total magnetic moment is 0.000 μB per atom.

***

(10)
Computed, not measured: AcPrNiGe after structural relaxation at the PBE level of DFT.

Cell lengths 5.2728, 5.2728, 5.2728 Å; angles 60.00, 60.00, 60.00 degrees
Closest atoms and distances in Å follow each position.
Fractional positions:
Ac  0.5000  0.5000  0.5000  4 Ge 3.23, 4 Ni 3.23
Ni  0.7500  0.7500  0.7500  4 Pr 3.23, 4 Ac 3.23
Ge  0.2500  0.2500  0.2500  4 Ac 3.23, 4 Pr 3.23
Pr  0.0000  0.0000  0.0000  4 Ni 3.23, 4 Ge 3.23

Properties
The value obtained for the total DFT energy (no corrections) is -5.18 eV/atom. The value obtained for the volume is 103.7 Å³ per cell. As for the formation energy: -0.3559 eV/atom. The total magnetic moment is 0.000 μB per atom.

***

(11)
Computed, not measured: Pr4Nd2Sm2Tm after structural relaxation at the PBE level of DFT.

Cell lengths 5.1880, 8.1949, 8.1764 Å; angles 107.67, 90.00, 108.45 degrees
Closest atoms and distances in Å follow each position.
Fractional positions:
Pr  0.2217  0.4434  0.3318  1 Tm 3.64, 3 Nd 3.65-3.67, 5 Pr 3.67-3.68, 3 Sm 3.68-3.69
Pr  0.4453  0.8906  0.6677  2 Nd 3.63-3.66, 4 Sm 3.65-3.68, 2 Tm 3.65, 4 Pr 3.66-3.68
Pr  0.5547  0.1094  0.3323  2 Nd 3.63-3.66, 4 Sm 3.65-3.68, 2 Tm 3.65, 4 Pr 3.66-3.68
Pr  0.7783  0.5566  0.6682  1 Tm 3.64, 3 Nd 3.65-3.67, 5 Pr 3.67-3.68, 3 Sm 3.68-3.69
Sm  0.8892  0.7784  0.3305  1 Tm 3.64, 3 Nd 3.64-3.66, 7 Pr 3.65-3.69, 1 Sm 3.67
Sm  0.1108  0.2216  0.6695  1 Tm 3.64, 3 Nd 3.64-3.66, 7 Pr 3.65-3.69, 1 Sm 3.67
Tm  0.0000  0.0000  0.0000  2 Sm 3.64, 6 Pr 3.64-3.65, 4 Nd 3.66
Nd  0.6657  0.3314  0.9998  5 Pr 3.63-3.67, 3 Sm 3.64-3.66, 2 Tm 3.66, 2 Nd 3.69
Nd  0.3343  0.6686  0.0002  5 Pr 3.63-3.67, 3 Sm 3.64-3.66, 2 Tm 3.66, 2 Nd 3.69

Properties
The value obtained for the total DFT energy (no corrections) is -4.71 eV/atom. The value obtained for the volume is 312.4 Å³ per cell. As for the formation energy: 0.0154 eV/atom. The total magnetic moment is 0.000 μB per atom.

***

(12)
Computed, not measured: LiSb4Pt after structural relaxation at the PBE level of DFT.

Cell lengths 6.1030, 6.1030, 6.1030 Å; angles 60.00, 60.00, 60.00 degrees
Closest atoms and distances in Å follow each position.
Fractional positions:
Sb  0.3746  0.3746  0.3746  6 Sb 3.04-3.06
Sb  0.3746  0.8763  0.3746  6 Sb 3.04-3.06
Sb  0.3746  0.3746  0.8763  6 Sb 3.04-3.06
Sb  0.8763  0.3746  0.3746  6 Sb 3.04-3.06
Li  0.7500  0.7500  0.7500  12 Sb 3.58, 4 Pt 3.74
Pt  0.0000  0.0000  0.0000  12 Sb 3.58, 4 Li 3.74

Properties
The value obtained for the total DFT energy (no corrections) is -3.66 eV/atom. The value obtained for the volume is 160.7 Å³ per cell. As for the energy relative to the elements, uncorrected: 0.415 eV/atom. The total magnetic moment is 0.000 μB per atom.